AcSbHPt: optimized geometry, PBE.

Structure (CIF):
```
data_AcSbHPt
_chemical_formula_sum 'Ac1 Sb1 H1 Pt1'
_space_group_name_H-M_alt 'P 1'
_space_group_IT_number 1
_cell_length_a 4.6935
_cell_length_b 4.6936
_cell_length_c 4.3816
_cell_angle_alpha 90.00
_cell_angle_beta 90.00
_cell_angle_gamma 120.00
loop_
_space_group_symop_operation_xyz
'x,y,z'
loop_
_atom_site_label
_atom_site_fract_x
_atom_site_fract_y
_atom_site_fract_z
_atom_site_occupancy
Ac1 0.9052 0.8105 0.8066 1
Sb1 0.5719 0.1438 0.3270 1
H1 0.2386 0.4772 0.8567 1
Pt1 0.2386 0.4772 0.2488 1
```

Values from the calculation:
excess energy over the best structure of this formula in the dataset: 0 meV per atom
crystal system: trigonal
energy: -21.32 eV/cell
space-group type: No. 156
magnetic moment: 0.000 μB per formula unit